[1]
Below is a relaxed structure of Mn2AgMo, with properties calculated at the PBE level.

Results
ΔE to the lowest computed polymorph, kJ/mol of formula units: 41
Total moment, μB per cell: 0.61
Density of states at the Fermi level, states/eV per atom: 0.983
Formation energy from the elements, eV per formula unit: 1.57
Symmetry: No. 160
E, eV/atom: -7.614
Crystal system: trigonal

Cell lengths 9.1889, 9.1889, 9.1889 Å; angles 17.15, 17.15, 17.15 degrees
Closest atoms and distances in Å follow each position.
Fractional positions:
1 Mo 0.5062 0.5062 0.5062  6 Mo 2.74, 3 Mn 2.75, 3 Ag 2.99
2 Mn 0.9924 0.9924 0.9924  9 Mn 2.48-2.74
3 Mn 0.2555 0.2555 0.2555  9 Mn 2.48-2.74, 3 Mo 2.75
4 Ag 0.7459 0.7459 0.7459  6 Ag 2.74, 3 Mn 2.84, 3 Mo 2.99

=====

[2]
Below is a relaxed structure of LiAl2Cd, with properties calculated at the PBE level.

Results
Total moment, μB per cell: 0.00
Density of states at the Fermi level, states/eV per atom: 0.251
Formation energy from the elements, eV per formula unit: -0.12
Symmetry: No. 8
E, eV/atom: -2.608
Crystal system: monoclinic

Cell lengths 5.0058, 5.0058, 5.2404 Å; angles 82.96, 82.96, 33.75 degrees
Closest atoms and distances in Å follow each position.
Fractional positions:
1 Li 0.2525 0.2525 0.2514  3 Cd 2.82-2.93, 2 Li 2.91, 7 Al 2.91-3.08
2 Cd 0.5021 0.5021 0.4829  3 Li 2.82-2.93, 2 Cd 2.91, 7 Al 2.94-3.08
3 Al 0.7452 0.7452 0.7722  5 Al 2.84-2.91, 4 Li 2.91-3.08, 3 Cd 2.94-3.08
4 Al 0.0003 0.0003 0.9935  5 Al 2.84-2.91, 3 Li 2.92-2.96, 4 Cd 2.95-3.04

=====

[3]
Below is a relaxed structure of LaPtF2, with properties calculated at the PBE level.

Results
ΔE to the lowest computed polymorph, kJ/mol of formula units: 0
Total moment, μB per cell: 1.67
Density of states at the Fermi level, states/eV per atom: 0.276
Symmetry: No. 122
E, eV/atom: -5.768
Formation energy without anion corrections, eV per atom: -2.09
Crystal system: tetragonal

Cell lengths 4.3883, 4.3883, 8.6184 Å; angles 75.25, 75.25, 90.00 degrees
Closest atoms and distances in Å follow each position.
Fractional positions:
1 Pt 0.7500 0.2500 0.5000  4 F 2.70
2 Pt 0.0000 0.0000 0.0000  4 F 2.70
3 F 0.2007 0.6250 0.2500  2 La 2.41, 2 F 2.67, 2 Pt 2.70
4 F 0.3750 0.4507 0.7500  2 La 2.41, 2 F 2.67, 2 Pt 2.70
5 F 0.5493 0.1250 0.2500  2 La 2.41, 2 F 2.67, 2 Pt 2.70
6 F 0.8750 0.7993 0.7500  2 La 2.41, 2 F 2.67, 2 Pt 2.70
7 La 0.2500 0.7500 0.5000  4 F 2.41
8 La 0.5000 0.5000 0.0000  4 F 2.41

=====

[4]
Below is a relaxed structure of U2PdSe4I, with properties calculated at the PBE level.

Results
Total moment, μB per cell: 3.85
Density of states at the Fermi level, states/eV per atom: 1.804
Symmetry: No. 12
E, eV/atom: -6.189
Formation energy without anion corrections, eV per atom: -0.78
Crystal system: monoclinic

Cell lengths 4.0720, 6.3917, 9.2604 Å; angles 76.42, 77.30, 71.43 degrees
Closest atoms and distances in Å follow each position.
Fractional positions:
1 Se 0.3863 0.3109 0.9164  2 Pd 2.79, 3 U 2.79-2.86
2 Se 0.6137 0.6891 0.0836  2 Pd 2.79, 3 U 2.79-2.86
3 Se 0.1698 0.9374 0.7229  1 Pd 2.60, 2 U 2.80
4 Se 0.8302 0.0626 0.2771  1 Pd 2.60, 2 U 2.80
5 Pd 0.0000 0.0000 0.0000  6 Se 2.60-2.79
6 U 0.2019 0.3833 0.2129  5 Se 2.79-2.86
7 U 0.7981 0.6167 0.7871  5 Se 2.79-2.86
8 I 0.5000 0.5000 0.5000  4 U 3.47, 4 Se 3.60-3.73

=====

[5]
Below is a relaxed structure of TePbSeO6, with properties calculated at the PBE level.

Results
Total moment, μB per cell: 0.00
Density of states at the Fermi level, states/eV per atom: 0.000
Symmetry: No. 5
E, eV/atom: -5.332
Formation energy without anion corrections, eV per atom: -0.88
Crystal system: monoclinic

Cell lengths 5.5350, 5.5359, 5.4054 Å; angles 89.75, 90.25, 56.54 degrees
Closest atoms and distances in Å follow each position.
Fractional positions:
1 O 0.3739 0.0214 0.6992  1 Te 1.98, 1 Se 2.03
2 O 0.6355 0.9867 0.3035  1 Se 1.89, 1 Te 2.03
3 O 0.0210 0.3741 0.3009  1 Te 1.98, 1 Se 2.02
4 O 0.3614 0.5932 0.2757  1 Te 1.90
5 O 0.5935 0.3613 0.7243  1 Te 1.90
6 O 0.9866 0.6356 0.6965  1 Se 1.89, 1 Te 2.03
7 Te 0.3401 0.3401 0.5000  6 O 1.90-2.03
8 Se 0.6810 0.6810 0.4999  4 O 1.89-2.03
9 Pb 0.0067 0.0068 0.9999  6 O 2.51-2.68

=====

[6]
Below is a relaxed structure of HoThAg, with properties calculated at the PBE level.

Results
ΔE to the lowest computed polymorph, kJ/mol of formula units: 0
Total moment, μB per cell: 0.00
Density of states at the Fermi level, states/eV per atom: 1.021
Formation energy from the elements, eV per formula unit: -0.34
Symmetry: No. 69
E, eV/atom: -5.062
Crystal system: orthorhombic

Cell lengths 5.7703, 5.7703, 6.4159 Å; angles 103.01, 103.01, 119.96 degrees
Closest atoms and distances in Å follow each position.
Fractional positions:
1 Ag 0.2500 0.7500 0.5000  2 Ag 2.89, 4 Ho 3.12
2 Ag 0.7500 0.2500 0.5000  2 Ag 2.89, 4 Ho 3.12
3 Ho 0.1468 0.1468 0.2936  4 Ag 3.12, 1 Ho 3.36
4 Ho 0.8532 0.8532 0.7064  4 Ag 3.12, 1 Ho 3.36
5 Th 0.6646 0.3354 0.0000  3 Th 3.29-3.35, 4 Ag 3.32
6 Th 0.3354 0.6646 0.0000  3 Th 3.29-3.35, 4 Ag 3.32

=====

The calculation returns the following volume values, one per record and in order: 14.72 18.09 19.35 27.41 15.35 27.55 A^3/atom.